First-principles (GGA-PBE) data for RbPrMnI6 after structural relaxation, as listed in Alexandria.

The formation energy from raw total energies comes out at -1.10 eV/atom. The calculation puts the raw total energy at -68.2 eV/cell.

Lattice parameters (Å, degrees): 7.8863 7.8863 16.3718 90.00 90.00 120.00
Fractional positions:
Rb (0.0000, 0.0000, 0.0000)
Rb (0.0000, 0.0000, 0.5000)
Pr (0.3333, 0.6667, 0.2500)
Pr (0.6667, 0.3333, 0.7500)
Mn (0.3333, 0.6667, 0.7500)
Mn (0.6667, 0.3333, 0.2500)
I (0.0216, 0.3812, 0.6436)
I (0.0216, 0.6405, 0.8564)
I (0.3595, 0.3812, 0.8564)
I (0.3595, 0.9784, 0.6436)
I (0.3812, 0.0216, 0.1436)
I (0.3812, 0.3595, 0.3564)
I (0.6188, 0.6405, 0.6436)
I (0.6188, 0.9784, 0.8564)
I (0.6405, 0.0216, 0.3564)
I (0.6405, 0.6188, 0.1436)
I (0.9784, 0.3595, 0.1436)
I (0.9784, 0.6188, 0.3564)


First-principles (GGA-PBE) data for Mn2PtI6 after structural relaxation, as listed in Alexandria.

The formation energy from raw total energies comes out at -0.23 eV/atom. The calculation puts the raw total energy at -71.5 eV/cell.

Lattice parameters (Å, degrees): 10.4931 10.4931 11.0573 113.27 113.27 91.49
Fractional positions:
Mn (0.0711, 0.8592, 0.5953)
Mn (0.1408, 0.9289, 0.9047)
Mn (0.8592, 0.0711, 0.0953)
Mn (0.9289, 0.1408, 0.4047)
Pt (0.0405, 0.9595, 0.2500)
Pt (0.9595, 0.0405, 0.7500)
I (0.0441, 0.6608, 0.7082)
I (0.0946, 0.7377, 0.3467)
I (0.1581, 0.2072, 0.0127)
I (0.2072, 0.1581, 0.5127)
I (0.2623, 0.9054, 0.1533)
I (0.3392, 0.9559, 0.7918)
I (0.6608, 0.0441, 0.2082)
I (0.7377, 0.0946, 0.8467)
I (0.7928, 0.8419, 0.4873)
I (0.8419, 0.7928, 0.9873)
I (0.9054, 0.2623, 0.6533)
I (0.9559, 0.3392, 0.2918)


First-principles (GGA-PBE) data for MnPt3I after structural relaxation, as listed in Alexandria.

The polymorph energy (0 for the lowest one) comes out at 0 meV per atom. The formation energy from raw total energies comes out at 1.03 eV/atom. The calculation puts the raw total energy at -23.7 eV/cell.

Lattice parameters (Å, degrees): 4.6628 4.6628 4.6628 90.00 90.00 90.00
Fractional positions:
Mn (0.0000, 0.0000, 0.0000)
Pt (0.0000, 0.0000, 0.5000)
Pt (0.0000, 0.5000, 0.0000)
Pt (0.5000, 0.0000, 0.0000)
I (0.5000, 0.5000, 0.5000)


First-principles (GGA-PBE) data for Mn3PtI9 after structural relaxation, as listed in Alexandria.

The formation energy from raw total energies comes out at -0.25 eV/atom. The calculation puts the raw total energy at -101.6 eV/cell.

Lattice parameters (Å, degrees): 10.6176 10.6176 14.4444 122.88 122.88 60.71
Fractional positions:
Mn (0.0221, 0.5936, 0.9384)
Mn (0.0919, 0.9081, 0.5000)
Mn (0.4783, 0.7332, 0.8099)
Mn (0.5936, 0.0221, 0.4384)
Mn (0.7332, 0.4783, 0.3099)
Mn (0.9081, 0.0919, 0.0000)
Pt (0.2106, 0.3770, 0.6340)
Pt (0.3770, 0.2106, 0.1340)
I (0.0149, 0.5115, 0.4548)
I (0.0489, 0.8824, 0.1035)
I (0.1079, 0.1434, 0.9674)
I (0.1434, 0.1079, 0.4674)
I (0.2883, 0.6372, 0.8169)
I (0.2911, 0.4629, 0.0917)
I (0.3800, 0.7254, 0.5924)
I (0.4455, 0.9914, 0.2051)
I (0.4629, 0.2911, 0.5917)
I (0.5115, 0.0149, 0.9548)
I (0.5388, 0.7658, 0.3896)
I (0.6372, 0.2883, 0.3169)
I (0.7254, 0.3800, 0.0924)
I (0.7344, 0.9620, 0.7830)
I (0.7658, 0.5388, 0.8896)
I (0.8824, 0.0489, 0.6035)
I (0.9620, 0.7344, 0.2830)
I (0.9914, 0.4455, 0.7051)


First-principles (GGA-PBE) data for MnPt3I after structural relaxation, as listed in Alexandria.

The polymorph energy (0 for the lowest one) comes out at 159 meV per atom. The formation energy from raw total energies comes out at 1.19 eV/atom. The calculation puts the raw total energy at -22.9 eV/cell.

Lattice parameters (Å, degrees): 4.9631 4.9631 4.9631 90.00 90.00 90.00
Fractional positions:
Mn (0.0000, 0.0000, 0.0000)
Pt (0.0000, 0.5000, 0.5000)
Pt (0.5000, 0.0000, 0.5000)
Pt (0.5000, 0.5000, 0.0000)
I (0.5000, 0.5000, 0.5000)


First-principles (GGA-PBE) data for MnPtI5 after structural relaxation, as listed in Alexandria.

The formation energy from raw total energies comes out at -0.22 eV/atom. The calculation puts the raw total energy at -49.0 eV/cell.

Lattice parameters (Å, degrees): 7.3807 7.3807 10.6748 106.61 106.61 86.79
Fractional positions:
Mn (0.0441, 0.9559, 0.7500)
Mn (0.9559, 0.0441, 0.2500)
Pt (0.0000, 0.5000, 0.0000)
Pt (0.5000, 0.0000, 0.5000)
I (0.1618, 0.6390, 0.8478)
I (0.2196, 0.2443, 0.4913)
I (0.2346, 0.7654, 0.2500)
I (0.2443, 0.2196, 0.9913)
I (0.3610, 0.8382, 0.6522)
I (0.6390, 0.1618, 0.3478)
I (0.7557, 0.7804, 0.0087)
I (0.7654, 0.2346, 0.7500)
I (0.7804, 0.7557, 0.5087)
I (0.8382, 0.3610, 0.1522)


First-principles (GGA-PBE) data for Mn2PtI after structural relaxation, as listed in Alexandria.

The polymorph energy (0 for the lowest one) comes out at 0 meV per atom. The formation energy from raw total energies comes out at 0.85 eV/atom. The calculation puts the raw total energy at -90.1 eV/cell.

Lattice parameters (Å, degrees): 6.2104 6.2104 6.2104 90.00 90.00 90.00
Fractional positions:
Mn (0.2500, 0.2500, 0.2500)
Mn (0.2500, 0.2500, 0.7500)
Mn (0.2500, 0.7500, 0.2500)
Mn (0.2500, 0.7500, 0.7500)
Mn (0.7500, 0.2500, 0.2500)
Mn (0.7500, 0.2500, 0.7500)
Mn (0.7500, 0.7500, 0.2500)
Mn (0.7500, 0.7500, 0.7500)
Pt (0.0000, 0.0000, 0.0000)
Pt (0.0000, 0.5000, 0.5000)
Pt (0.5000, 0.0000, 0.5000)
Pt (0.5000, 0.5000, 0.0000)
I (0.0000, 0.0000, 0.5000)
I (0.0000, 0.5000, 0.0000)
I (0.5000, 0.0000, 0.0000)
I (0.5000, 0.5000, 0.5000)


First-principles (GGA-PBE) data for Mn2PtI after structural relaxation, as listed in Alexandria.

The polymorph energy (0 for the lowest one) comes out at 173 meV per atom. The formation energy from raw total energies comes out at 1.03 eV/atom. The calculation puts the raw total energy at -87.3 eV/cell.

Lattice parameters (Å, degrees): 5.5565 5.5565 11.2194 90.00 90.00 90.00
Fractional positions:
Mn (0.2213, 0.2500, 0.1250)
Mn (0.2500, 0.7213, 0.3750)
Mn (0.2500, 0.7787, 0.8750)
Mn (0.2787, 0.2500, 0.6250)
Mn (0.7213, 0.7500, 0.6250)
Mn (0.7500, 0.2213, 0.8750)
Mn (0.7500, 0.2787, 0.3750)
Mn (0.7787, 0.7500, 0.1250)
Pt (0.0000, 0.0000, 0.0000)
Pt (0.0000, 0.5000, 0.2500)
Pt (0.5000, 0.0000, 0.7500)
Pt (0.5000, 0.5000, 0.5000)
I (0.0000, 0.0000, 0.5000)
I (0.0000, 0.5000, 0.7500)
I (0.5000, 0.0000, 0.2500)
I (0.5000, 0.5000, 0.0000)